The following is a DFT calculation (GGA-PBE) of a relaxed BaZn2Sb crystal.

The structure belongs to space group P4/mmm (No. 123); the cell edges are 4.8164, 4.8164 and 4.8654 Å and the angles 90.00°, 90.00° and 90.00°. The asymmetric unit holds Ba at (0.0000, 0.0000, 0.0000), Zn at (0.0000, 0.5000, 0.5000) and Sb at (0.5000, 0.5000, 0.0000).

The formation energy from raw total energies is -0.6 eV/f.u. For the total DFT energy (no corrections), the calculation gives -2.309 eV per atom. As for the total magnetization: 0.00 μB per atom.

=====

The following is a DFT calculation (GGA-PBE) of a relaxed TlHgW2 crystal.

The structure belongs to space group Cmm2 (No. 35); the cell edges are 3.2283, 4.9766 and 10.4113 Å and the angles 90.00°, 90.00° and 90.00°. The asymmetric unit holds Tl at (0.0000, 0.0000, 0.0000), Hg at (0.0000, 0.5000, 0.3015), W at (0.0000, 0.0000, 0.5478) and W at (0.0000, 0.5000, 0.7355).

The energy of formation from the pure elements is 595 meV/atom. As for the energy above the most stable polymorph in this dataset: 0.000 eV/atom. For the total DFT energy (no corrections), the calculation gives -6.548 eV per atom. As for the total magnetization: 0.00 μB per atom.

=====

The following is a DFT calculation (GGA-PBE) of a relaxed NaMnNb2 crystal.

The structure belongs to space group I-42d (No. 122); the cell edges are 3.8982, 3.8982 and 20.4936 Å and the angles 90.00°, 90.00° and 90.00°. The asymmetric unit holds Na at (0.0000, 0.0000, 0.0000), Mn at (0.0000, 0.0000, 0.5000) and Nb at (0.2331, 0.2500, 0.6250).

The energy of formation from the pure elements is 1019 meV/atom. As for the energy above the most stable polymorph in this dataset: 0.290 eV/atom. For the total DFT energy (no corrections), the calculation gives -6.638 eV per atom. As for the total magnetization: 0.71 μB per atom.

=====

The following is a DFT calculation (GGA-PBE) of a relaxed K2Na2Cd crystal.

The structure belongs to space group P4/mbm (No. 127); the cell edges are 8.3982, 8.3982 and 6.3090 Å and the angles 90.00°, 90.00° and 90.00°. The asymmetric unit holds K at (0.1843, 0.3157, 0.0000), Na at (0.1445, 0.6445, 0.5000) and Cd at (0.0000, 0.0000, 0.5000).

The energy of formation from the pure elements is 24 meV/atom. As for the energy above the most stable polymorph in this dataset: 0.024 eV/atom. For the total DFT energy (no corrections), the calculation gives -1.125 eV per atom. As for the total magnetization: 0.00 μB per atom.

=====

The following is a DFT calculation (GGA-PBE) of a relaxed CrRuPb2 crystal.

The structure belongs to space group C2/m (No. 12); the cell edges are 8.8781, 3.3880 and 5.6110 Å and the angles 90.00°, 102.19° and 90.00°. The asymmetric unit holds Cr at (0.0000, 0.0000, 0.0000), Ru at (0.0000, 0.5000, 0.5000) and Pb at (0.2435, 0.0000, 0.7385).

The energy of formation from the pure elements is 601 meV/atom. As for the energy above the most stable polymorph in this dataset: 0.274 eV/atom. For the total DFT energy (no corrections), the calculation gives -5.978 eV per atom. As for the total magnetization: 0.94 μB per atom.

=====

The following is a DFT calculation (GGA-PBE) of a relaxed HfZr3H crystal.

The structure belongs to space group Pm-3m (No. 221); the cell edges are 5.2128, 5.2128 and 5.2128 Å and the angles 90.00°, 90.00° and 90.00°. The asymmetric unit holds Hf at (0.0000, 0.0000, 0.0000), Zr at (0.0000, 0.0000, 0.5000) and H at (0.5000, 0.5000, 0.5000).

As for the energy above the most stable polymorph in this dataset: 1.823 eV/atom. For the total DFT energy (no corrections), the calculation gives -6.061 eV per atom. As for the total magnetization: 0.00 μB per atom.